A plane-wave DFT calculation with GGA-PBE was carried out for crystalline MgAl2Co2 at its relaxed geometry.

## Properties
Electronic total energy in eV/atom: -4.9897
Formation enthalpy at 0 K in kJ/mol of formula units: -160
Space-group type: P4/mbm
ΔE to the lowest computed polymorph in meV per atom: 7.8

a = 7.0047 Å, b = 7.0047 Å, c = 2.7468 Å
α = 90.00°, β = 90.00°, γ = 90.00°
Fractional positions:
1 Mg 0.0000 0.0000 0.0000
2 Mg 0.5000 0.5000 0.0000
3 Al 0.1333 0.3667 0.0000
4 Al 0.3667 0.8667 0.0000
5 Al 0.6333 0.1333 0.0000
6 Al 0.8667 0.6333 0.0000
7 Co 0.1616 0.6616 0.5000
8 Co 0.3384 0.1616 0.5000
9 Co 0.6616 0.8384 0.5000
10 Co 0.8384 0.3384 0.5000